[1]
VASP calculation (PBEsol) on a relaxed structure of SrTeRu2.

Lattice parameters (Å, degrees): 5.9672 5.9672 5.9672 44.04 44.04 44.04
Atoms (fractional coordinates):
Sr (0.0000, 0.0000, 0.0000)
Te (0.5000, 0.5000, 0.5000)
Ru (0.1907, 0.1907, 0.1907)
Ru (0.8093, 0.8093, 0.8093)

Total magnetic moment = 0.9 Bohr magnetons per cell
DOS(E_F) = 1.29 states/eV per atom
E_tot = -25.28 eV per cell

[2]
VASP calculation (PBEsol) on a relaxed structure of NaLiV2O6.

Lattice parameters (Å, degrees): 6.7922 6.7922 5.7995 104.85 104.85 83.19
Atoms (fractional coordinates):
Na (0.2138, 0.7862, 0.7500)
Na (0.7862, 0.2138, 0.2500)
Li (0.4130, 0.5870, 0.2500)
Li (0.5870, 0.4130, 0.7500)
V (0.1193, 0.3034, 0.7566)
V (0.3034, 0.1193, 0.2566)
V (0.6966, 0.8807, 0.7434)
V (0.8807, 0.6966, 0.2434)
O (0.1131, 0.5889, 0.2932)
O (0.1413, 0.1451, 0.4643)
O (0.1451, 0.1413, 0.9643)
O (0.2918, 0.4780, 0.8577)
O (0.4111, 0.8869, 0.2068)
O (0.4780, 0.2918, 0.3577)
O (0.5220, 0.7082, 0.6423)
O (0.5889, 0.1131, 0.7932)
O (0.7082, 0.5220, 0.1423)
O (0.8549, 0.8587, 0.0357)
O (0.8587, 0.8549, 0.5357)
O (0.8869, 0.4111, 0.7068)

Total magnetic moment = 0.0 Bohr magnetons per cell
DOS(E_F) = 0.00 states/eV per atom
E_tot = -154.49 eV per cell

[3]
VASP calculation (PBEsol) on a relaxed structure of Y2HgRh.

Lattice parameters (Å, degrees): 5.5555 5.5555 5.5555 134.93 134.93 65.64
Atoms (fractional coordinates):
Y (0.0000, 0.0000, 0.0000)
Y (0.7500, 0.2500, 0.5000)
Hg (0.5000, 0.5000, 0.0000)
Rh (0.2500, 0.7500, 0.5000)

Total magnetic moment = 0.0 Bohr magnetons per cell
DOS(E_F) = 0.75 states/eV per atom
DFT formation energy = -0.4459 eV per atom

[4]
VASP calculation (PBEsol) on a relaxed structure of SbPbAu.

Lattice parameters (Å, degrees): 4.4922 4.4922 4.5619 90.00 90.00 120.00
Atoms (fractional coordinates):
Sb (0.0000, 0.0000, 0.0000)
Pb (0.6667, 0.3333, 0.4967)
Au (0.3333, 0.6667, 0.8393)

Total magnetic moment = 0.0 Bohr magnetons per cell
DOS(E_F) = 0.31 states/eV per atom
E_tot = -12.66 eV per cell

[5]
VASP calculation (PBEsol) on a relaxed structure of ZrPI2.

Lattice parameters (Å, degrees): 5.0239 5.0239 5.0239 60.00 60.00 60.00
Atoms (fractional coordinates):
Zr (0.0000, 0.0000, 0.0000)
P (0.5000, 0.5000, 0.5000)
I (0.2500, 0.2500, 0.2500)
I (0.7500, 0.7500, 0.7500)

Total magnetic moment = 0.0 Bohr magnetons per cell
DOS(E_F) = 0.55 states/eV per atom
E_tot = -17.98 eV per cell

[6]
VASP calculation (PBEsol) on a relaxed structure of DyNiGe2.

Lattice parameters (Å, degrees): 8.4836 8.4836 4.1091 90.00 90.00 152.46
Atoms (fractional coordinates):
Dy (0.1078, 0.8922, 0.7500)
Dy (0.8922, 0.1078, 0.2500)
Ni (0.3214, 0.6786, 0.7500)
Ni (0.6786, 0.3214, 0.2500)
Ge (0.2511, 0.7489, 0.2500)
Ge (0.4587, 0.5413, 0.7500)
Ge (0.5413, 0.4587, 0.2500)
Ge (0.7489, 0.2511, 0.7500)

Total magnetic moment = 0.0 Bohr magnetons per cell
DOS(E_F) = 0.41 states/eV per atom
DFT formation energy = -0.7702 eV per atom

[7]
VASP calculation (PBEsol) on a relaxed structure of ReRh4.

Lattice parameters (Å, degrees): 4.6468 4.6468 4.6468 99.57 99.57 131.88
Atoms (fractional coordinates):
Re (0.0000, 0.0000, 0.0000)
Rh (0.2045, 0.6043, 0.8088)
Rh (0.3957, 0.2045, 0.6002)
Rh (0.6043, 0.7955, 0.3998)
Rh (0.7955, 0.3957, 0.1912)

Total magnetic moment = 0.0 Bohr magnetons per cell
DOS(E_F) = 1.05 states/eV per atom
DFT formation energy = -0.0781 eV per atom

[8]
VASP calculation (PBEsol) on a relaxed structure of LaTiPd3.

Lattice parameters (Å, degrees): 4.7153 4.7153 4.7153 90.00 90.00 90.00
Atoms (fractional coordinates):
La (0.0000, 0.0000, 0.0000)
Ti (0.5000, 0.5000, 0.5000)
Pd (0.0000, 0.5000, 0.5000)
Pd (0.5000, 0.0000, 0.5000)
Pd (0.5000, 0.5000, 0.0000)

Total magnetic moment = 0.0 Bohr magnetons per cell
DOS(E_F) = 0.74 states/eV per atom
DFT formation energy = -0.2060 eV per atom

The lowest DOS(E_F) belongs to which entry?
NaLiV2O6

total magnetic moment of number 5 (ZrPI2)?
0.0 Bohr magnetons per cell

What is the total magnetic moment in the fourth record?
0.0 Bohr magnetons per cell